Entry 1:
# KRbTe2, relaxed, DFT PBE-GGA
data_KRbTe2
_cell_length_a 6.272
_cell_length_b 6.760
_cell_length_c 12.818
_cell_angle_alpha 90.00
_cell_angle_beta 90.00
_cell_angle_gamma 90.00
_space_group_name_H-M_alt 'P 1'
_space_group_IT_number 1
loop_
_space_group_symop_operation_xyz
'x,y,z'
loop_
_atom_site_label
_atom_site_type_symbol
_atom_site_fract_x
_atom_site_fract_y
_atom_site_fract_z
K1 K 0.000 0.000 0.000
K2 K 0.000 0.500 0.500
Rb1 Rb 0.500 0.000 0.294
Rb2 Rb 0.500 0.500 0.794
Te1 Te 0.500 0.210 0.034
Te2 Te 0.500 0.290 0.534
Te3 Te 0.500 0.710 0.534
Te4 Te 0.500 0.790 0.034
# Total magnetic moment   0.00 μB/f.u.
# SG   Amm2 (38)
# Polymorph energy (0 for the lowest one)   130.9 meV per atom
# Raw formation energy   -0.68 eV per atom

***

Entry 2:
# KRb2Te6, relaxed, DFT PBE-GGA
data_KRb2Te6
_cell_length_a 9.260
_cell_length_b 9.260
_cell_length_c 4.635
_cell_angle_alpha 104.01
_cell_angle_beta 104.01
_cell_angle_gamma 78.78
_space_group_name_H-M_alt 'P 1'
_space_group_IT_number 1
loop_
_space_group_symop_operation_xyz
'x,y,z'
loop_
_atom_site_label
_atom_site_type_symbol
_atom_site_fract_x
_atom_site_fract_y
_atom_site_fract_z
K1 K 0.000 0.000 0.000
Rb1 Rb 0.337 0.337 0.298
Rb2 Rb 0.667 0.667 0.573
Te1 Te 0.083 0.588 0.796
Te2 Te 0.244 0.761 0.499
Te3 Te 0.414 0.919 0.078
Te4 Te 0.588 0.083 0.796
Te5 Te 0.761 0.244 0.499
Te6 Te 0.919 0.414 0.078
# Total magnetic moment   0.00 μB/f.u.
# SG   Cm (8)
# Raw formation energy   -0.59 eV per atom
# D(E_F)   3.26 states/eV/f.u.

***

Entry 3:
# K2RbTe6, relaxed, DFT PBE-GGA
data_K2RbTe6
_cell_length_a 9.842
_cell_length_b 9.842
_cell_length_c 4.311
_cell_angle_alpha 102.64
_cell_angle_beta 102.64
_cell_angle_gamma 66.02
_space_group_name_H-M_alt 'P 1'
_space_group_IT_number 1
loop_
_space_group_symop_operation_xyz
'x,y,z'
loop_
_atom_site_label
_atom_site_type_symbol
_atom_site_fract_x
_atom_site_fract_y
_atom_site_fract_z
K1 K 0.000 0.000 0.000
K2 K 0.725 0.725 0.726
Rb1 Rb 0.363 0.363 0.866
Te1 Te 0.067 0.658 0.363
Te2 Te 0.312 0.770 0.541
Te3 Te 0.413 0.955 0.184
Te4 Te 0.658 0.067 0.363
Te5 Te 0.770 0.312 0.541
Te6 Te 0.955 0.413 0.184
# Total magnetic moment   0.00 μB/f.u.
# SG   Cm (8)
# Polymorph energy (0 for the lowest one)   61.0 meV per atom
# Raw formation energy   -0.53 eV per atom
# D(E_F)   3.11 states/eV/f.u.

***

Entry 4:
# K2RbTe, relaxed, DFT PBE-GGA
data_K2RbTe
_cell_length_a 12.167
_cell_length_b 12.167
_cell_length_c 7.238
_cell_angle_alpha 90.00
_cell_angle_beta 90.00
_cell_angle_gamma 90.00
_space_group_name_H-M_alt 'P 1'
_space_group_IT_number 1
loop_
_space_group_symop_operation_xyz
'x,y,z'
loop_
_atom_site_label
_atom_site_type_symbol
_atom_site_fract_x
_atom_site_fract_y
_atom_site_fract_z
K1 K 0.107 0.750 0.125
K2 K 0.250 0.107 0.875
K3 K 0.250 0.393 0.375
K4 K 0.393 0.750 0.625
K5 K 0.607 0.250 0.625
K6 K 0.750 0.607 0.375
K7 K 0.750 0.893 0.875
K8 K 0.893 0.250 0.125
Rb1 Rb 0.000 0.000 0.500
Rb2 Rb 0.000 0.500 0.750
Rb3 Rb 0.500 0.000 0.250
Rb4 Rb 0.500 0.500 0.000
Te1 Te 0.000 0.000 0.000
Te2 Te 0.000 0.500 0.250
Te3 Te 0.500 0.000 0.750
Te4 Te 0.500 0.500 0.500
# Total magnetic moment   0.00 μB/f.u.
# SG   I-42d (122)
# Raw formation energy   -0.60 eV per atom
# D(E_F)   1.89 states/eV/f.u.

***

Entry 5:
# KRb3Te4, relaxed, DFT PBE-GGA
data_KRb3Te4
_cell_length_a 23.318
_cell_length_b 5.853
_cell_length_c 8.069
_cell_angle_alpha 90.00
_cell_angle_beta 104.19
_cell_angle_gamma 90.00
_space_group_name_H-M_alt 'P 1'
_space_group_IT_number 1
loop_
_space_group_symop_operation_xyz
'x,y,z'
loop_
_atom_site_label
_atom_site_type_symbol
_atom_site_fract_x
_atom_site_fract_y
_atom_site_fract_z
K1 K 0.000 0.000 0.000
K2 K 0.500 0.500 0.000
Rb1 Rb 0.000 0.500 0.500
Rb2 Rb 0.187 0.500 0.832
Rb3 Rb 0.313 0.000 0.168
Rb4 Rb 0.500 0.000 0.500
Rb5 Rb 0.687 0.000 0.832
Rb6 Rb 0.813 0.500 0.168
Te1 Te 0.087 0.000 0.701
Te2 Te 0.147 0.000 0.051
Te3 Te 0.353 0.500 0.949
Te4 Te 0.413 0.500 0.299
Te5 Te 0.587 0.500 0.701
Te6 Te 0.647 0.500 0.051
Te7 Te 0.853 0.000 0.949
Te8 Te 0.913 0.000 0.299
# Total magnetic moment   0.00 μB/f.u.
# SG   C2/m (12)
# Polymorph energy (0 for the lowest one)   57.2 meV per atom
# Raw formation energy   -0.72 eV per atom

***

Entry 6:
# KRb5Te3, relaxed, DFT PBE-GGA
data_KRb5Te3
_cell_length_a 10.461
_cell_length_b 10.461
_cell_length_c 12.078
_cell_angle_alpha 106.77
_cell_angle_beta 106.77
_cell_angle_gamma 48.10
_space_group_name_H-M_alt 'P 1'
_space_group_IT_number 1
loop_
_space_group_symop_operation_xyz
'x,y,z'
loop_
_atom_site_label
_atom_site_type_symbol
_atom_site_fract_x
_atom_site_fract_y
_atom_site_fract_z
K1 K 0.246 0.754 0.750
K2 K 0.754 0.246 0.250
Rb1 Rb 0.081 0.586 0.917
Rb2 Rb 0.085 0.583 0.416
Rb3 Rb 0.253 0.747 0.250
Rb4 Rb 0.414 0.919 0.583
Rb5 Rb 0.417 0.915 0.084
Rb6 Rb 0.583 0.085 0.916
Rb7 Rb 0.586 0.081 0.417
Rb8 Rb 0.747 0.253 0.750
Rb9 Rb 0.915 0.417 0.584
Rb10 Rb 0.919 0.414 0.083
Te1 Te 0.000 0.000 0.000
Te2 Te 0.000 0.000 0.500
Te3 Te 0.329 0.342 0.668
Te4 Te 0.342 0.329 0.168
Te5 Te 0.658 0.671 0.832
Te6 Te 0.671 0.658 0.332
# Total magnetic moment   0.00 μB/f.u.
# SG   C2/c (15)
# Raw formation energy   -1.00 eV per atom
# D(E_F)   0.00 states/eV/f.u.

***

Entry 7:
# KRbTe, relaxed, DFT PBE-GGA
data_KRbTe
_cell_length_a 5.600
_cell_length_b 5.600
_cell_length_c 5.514
_cell_angle_alpha 90.00
_cell_angle_beta 90.00
_cell_angle_gamma 120.00
_space_group_name_H-M_alt 'P 1'
_space_group_IT_number 1
loop_
_space_group_symop_operation_xyz
'x,y,z'
loop_
_atom_site_label
_atom_site_type_symbol
_atom_site_fract_x
_atom_site_fract_y
_atom_site_fract_z
K1 K 0.000 0.000 0.000
Rb1 Rb 0.667 0.333 0.508
Te1 Te 0.333 0.667 0.194
# Total magnetic moment   0.00 μB/f.u.
# SG   P3m1 (156)
# Raw formation energy   -0.88 eV per atom

***

Entry 8:
# K2Rb4Te, relaxed, DFT PBE-GGA
data_K2Rb4Te
_cell_length_a 7.033
_cell_length_b 7.033
_cell_length_c 23.848
_cell_angle_alpha 90.00
_cell_angle_beta 90.00
_cell_angle_gamma 90.00
_space_group_name_H-M_alt 'P 1'
_space_group_IT_number 1
loop_
_space_group_symop_operation_xyz
'x,y,z'
loop_
_atom_site_label
_atom_site_type_symbol
_atom_site_fract_x
_atom_site_fract_y
_atom_site_fract_z
K1 K 0.000 0.000 0.165
K2 K 0.000 0.000 0.835
K3 K 0.500 0.500 0.335
K4 K 0.500 0.500 0.665
Rb1 Rb 0.000 0.000 0.352
Rb2 Rb 0.000 0.000 0.648
Rb3 Rb 0.000 0.500 0.000
Rb4 Rb 0.000 0.500 0.500
Rb5 Rb 0.500 0.000 0.000
Rb6 Rb 0.500 0.000 0.500
Rb7 Rb 0.500 0.500 0.148
Rb8 Rb 0.500 0.500 0.852
Te1 Te 0.000 0.000 0.500
Te2 Te 0.500 0.500 0.000
# Total magnetic moment   0.00 μB/f.u.
# SG   I4/mmm (139)
# Raw formation energy   -0.32 eV per atom
# D(E_F)   3.30 states/eV/f.u.

***

Entry 9:
# K4RbTe4, relaxed, DFT PBE-GGA
data_K4RbTe4
_cell_length_a 11.173
_cell_length_b 11.173
_cell_length_c 6.998
_cell_angle_alpha 90.00
_cell_angle_beta 90.00
_cell_angle_gamma 90.00
_space_group_name_H-M_alt 'P 1'
_space_group_IT_number 1
loop_
_space_group_symop_operation_xyz
'x,y,z'
loop_
_atom_site_label
_atom_site_type_symbol
_atom_site_fract_x
_atom_site_fract_y
_atom_site_fract_z
K1 K 0.086 0.644 0.132
K2 K 0.144 0.914 0.632
K3 K 0.356 0.586 0.632
K4 K 0.414 0.856 0.132
K5 K 0.586 0.144 0.868
K6 K 0.644 0.414 0.368
K7 K 0.856 0.086 0.368
K8 K 0.914 0.356 0.868
Rb1 Rb 0.250 0.250 0.250
Rb2 Rb 0.750 0.750 0.750
Te1 Te 0.039 0.604 0.626
Te2 Te 0.104 0.961 0.126
Te3 Te 0.396 0.539 0.126
Te4 Te 0.461 0.896 0.626
Te5 Te 0.539 0.104 0.374
Te6 Te 0.604 0.461 0.874
Te7 Te 0.896 0.039 0.874
Te8 Te 0.961 0.396 0.374
# Total magnetic moment   1.02 μB/f.u.
# SG   P4_2/n (86)
# Raw formation energy   -0.78 eV per atom
# D(E_F)   5.42 states/eV/f.u.

***

Entry 10:
# K2RbTe3, relaxed, DFT PBE-GGA
data_K2RbTe3
_cell_length_a 10.205
_cell_length_b 10.205
_cell_length_c 6.190
_cell_angle_alpha 90.00
_cell_angle_beta 90.00
_cell_angle_gamma 57.60
_space_group_name_H-M_alt 'P 1'
_space_group_IT_number 1
loop_
_space_group_symop_operation_xyz
'x,y,z'
loop_
_atom_site_label
_atom_site_type_symbol
_atom_site_fract_x
_atom_site_fract_y
_atom_site_fract_z
K1 K 0.005 0.355 0.250
K2 K 0.355 0.005 0.750
K3 K 0.645 0.995 0.250
K4 K 0.995 0.645 0.750
Rb1 Rb 0.332 0.668 0.250
Rb2 Rb 0.668 0.332 0.750
Te1 Te 0.043 0.957 0.750
Te2 Te 0.332 0.332 0.000
Te3 Te 0.332 0.332 0.500
Te4 Te 0.668 0.668 0.000
Te5 Te 0.668 0.668 0.500
Te6 Te 0.957 0.043 0.250
# Total magnetic moment   0.00 μB/f.u.
# SG   Cmcm (63)
# Raw formation energy   -0.81 eV per atom
# D(E_F)   4.82 states/eV/f.u.

***

Entry 11:
# K3RbTh2Te6, relaxed, DFT PBE-GGA
data_K3RbTh2Te6
_cell_length_a 10.924
_cell_length_b 10.924
_cell_length_c 10.174
_cell_angle_alpha 104.23
_cell_angle_beta 104.23
_cell_angle_gamma 24.81
_space_group_name_H-M_alt 'P 1'
_space_group_IT_number 1
loop_
_space_group_symop_operation_xyz
'x,y,z'
loop_
_atom_site_label
_atom_site_type_symbol
_atom_site_fract_x
_atom_site_fract_y
_atom_site_fract_z
K1 K 0.000 0.000 0.000
K2 K 0.345 0.345 0.666
K3 K 0.655 0.655 0.334
Rb1 Rb 0.000 0.000 0.500
Th1 Th 0.335 0.335 0.166
Th2 Th 0.665 0.665 0.834
Te1 Te 0.177 0.177 0.057
Te2 Te 0.177 0.177 0.633
Te3 Te 0.479 0.479 0.230
Te4 Te 0.521 0.521 0.770
Te5 Te 0.823 0.823 0.367
Te6 Te 0.823 0.823 0.943
# Total magnetic moment   0.00 μB/f.u.
# SG   C2/m (12)
# Raw formation energy   -1.21 eV per atom

***

Entry 12:
# KRb4Th3Te8, relaxed, DFT PBE-GGA
data_KRb4Th3Te8
_cell_length_a 10.115
_cell_length_b 10.115
_cell_length_c 10.115
_cell_angle_alpha 55.60
_cell_angle_beta 55.60
_cell_angle_gamma 55.60
_space_group_name_H-M_alt 'P 1'
_space_group_IT_number 1
loop_
_space_group_symop_operation_xyz
'x,y,z'
loop_
_atom_site_label
_atom_site_type_symbol
_atom_site_fract_x
_atom_site_fract_y
_atom_site_fract_z
K1 K 0.000 0.000 0.000
Rb1 Rb 0.000 0.000 0.500
Rb2 Rb 0.000 0.500 0.000
Rb3 Rb 0.500 0.000 0.000
Rb4 Rb 0.500 0.500 0.500
Th1 Th 0.000 0.500 0.500
Th2 Th 0.500 0.000 0.500
Th3 Th 0.500 0.500 0.000
Te1 Te 0.247 0.247 0.712
Te2 Te 0.247 0.712 0.247
Te3 Te 0.265 0.265 0.265
Te4 Te 0.288 0.753 0.753
Te5 Te 0.712 0.247 0.247
Te6 Te 0.735 0.735 0.735
Te7 Te 0.753 0.288 0.753
Te8 Te 0.753 0.753 0.288
# Total magnetic moment   0.01 μB/f.u.
# SG   R-3m (166)
# Raw formation energy   -1.19 eV per atom
# D(E_F)   6.84 states/eV/f.u.